Entry 1:
DFT (PBE) results for a geometry-optimized TcAs3 structure.

Properties
- calculated total energy (eV/cell) = -90.61
- density of states at the Fermi level (states/eV/f.u.) = 3.5
- ΔE to the lowest computed polymorph (eV per atom) = 0.481
- space group = Fm-3m (225)
- energy of formation (eV per atom) = 0.4155
- size of the total moment (μB/cell) = 0.000
- calculated volume (Å³/cell) = 265

```
data_TcAs3
_chemical_formula_sum 'Tc4 As12'
_symmetry_space_group_name_H-M 'P 1'
_symmetry_Int_Tables_number 1
_cell_length_a 6.423
_cell_length_b 6.423
_cell_length_c 6.423
_cell_angle_alpha 90.00
_cell_angle_beta 90.00
_cell_angle_gamma 90.00
loop_
_symmetry_equiv_pos_as_xyz
'x,y,z'
loop_
_atom_site_label
_atom_site_fract_x
_atom_site_fract_y
_atom_site_fract_z
Tc1 0.000 0.000 0.000
Tc2 0.000 0.500 0.500
Tc3 0.500 0.000 0.500
Tc4 0.500 0.500 0.000
As1 0.000 0.000 0.500
As2 0.000 0.500 0.000
As3 0.250 0.250 0.250
As4 0.250 0.250 0.750
As5 0.250 0.750 0.250
As6 0.250 0.750 0.750
As7 0.500 0.000 0.000
As8 0.500 0.500 0.500
As9 0.750 0.250 0.250
As10 0.750 0.250 0.750
As11 0.750 0.750 0.250
As12 0.750 0.750 0.750
```

---

Entry 2:
DFT (PBE) results for a geometry-optimized Tc3As structure.

Properties
- calculated total energy (eV/cell) = -70.66
- density of states at the Fermi level (states/eV/f.u.) = 3.3
- ΔE to the lowest computed polymorph (eV per atom) = 0.131
- space group = Pmmn (59)
- energy of formation (eV per atom) = 0.1043
- size of the total moment (μB/cell) = 0.000
- calculated volume (Å³/cell) = 117

```
data_Tc3As
_chemical_formula_sum 'Tc6 As2'
_symmetry_space_group_name_H-M 'P 1'
_symmetry_Int_Tables_number 1
_cell_length_a 4.438
_cell_length_b 5.409
_cell_length_c 4.885
_cell_angle_alpha 90.00
_cell_angle_beta 90.00
_cell_angle_gamma 90.00
loop_
_symmetry_equiv_pos_as_xyz
'x,y,z'
loop_
_atom_site_label
_atom_site_fract_x
_atom_site_fract_y
_atom_site_fract_z
Tc1 0.250 0.012 0.131
Tc2 0.250 0.250 0.642
Tc3 0.250 0.488 0.131
Tc4 0.750 0.512 0.869
Tc5 0.750 0.750 0.358
Tc6 0.750 0.988 0.869
As1 0.250 0.750 0.639
As2 0.750 0.250 0.361
```

---

Entry 3:
DFT (PBE) results for a geometry-optimized TcAs3 structure.

Properties
- calculated total energy (eV/cell) = -68.73
- density of states at the Fermi level (states/eV/f.u.) = 3.2
- ΔE to the lowest computed polymorph (eV per atom) = 0.417
- space group = R-3m (166)
- energy of formation (eV per atom) = 0.3514
- size of the total moment (μB/cell) = 0.001
- calculated volume (Å³/cell) = 215

```
data_TcAs3
_chemical_formula_sum 'Tc3 As9'
_symmetry_space_group_name_H-M 'P 1'
_symmetry_Int_Tables_number 1
_cell_length_a 7.675
_cell_length_b 7.675
_cell_length_c 4.222
_cell_angle_alpha 90.00
_cell_angle_beta 90.00
_cell_angle_gamma 120.00
loop_
_symmetry_equiv_pos_as_xyz
'x,y,z'
loop_
_atom_site_label
_atom_site_fract_x
_atom_site_fract_y
_atom_site_fract_z
Tc1 0.000 0.000 0.000
Tc2 0.333 0.667 0.667
Tc3 0.667 0.333 0.333
As1 0.000 0.500 0.000
As2 0.167 0.333 0.333
As3 0.167 0.833 0.333
As4 0.333 0.167 0.667
As5 0.500 0.000 0.000
As6 0.500 0.500 0.000
As7 0.667 0.833 0.333
As8 0.833 0.167 0.667
As9 0.833 0.667 0.667
```

---

energy of formation of number 3 (TcAs3)?
0.3514 eV per atom